1.
A plane-wave DFT calculation with PBEsol was carried out for a geometry-optimized Tl2Au2Cl structure.

- Energy relative to the elements, uncorrected: -0.280 eV/atom

Cell and atoms, written as POSCAR:
```
Tl2Au2Cl
1.0
3.824 0.000 0.000
0.000 3.824 0.000
-1.912 -1.912 8.407
Tl Au Cl
2 2 1
Direct
0.397 0.397 0.794
0.603 0.603 0.206
0.250 0.750 0.500
0.750 0.250 0.500
0.000 0.000 0.000
```

2.
A plane-wave DFT calculation with PBEsol was carried out for a geometry-optimized TlAuCl2 structure.

- Excess energy over the best structure of this formula in the dataset: 0 meV per atom
- Energy relative to the elements, uncorrected: -0.486 eV/atom

Cell and atoms, written as POSCAR:
```
TlAuCl2
1.0
-1.267 -2.434 -4.131
-3.870 -3.101 0.038
-6.052 3.549 -3.212
Tl Au Cl
1 1 2
Direct
0.500 0.500 0.500
0.000 0.000 0.000
0.896 0.896 0.313
0.104 0.104 0.687
```

3.
A plane-wave DFT calculation with PBEsol was carried out for a geometry-optimized W2AuCl structure.

- Excess energy over the best structure of this formula in the dataset: 0 meV per atom
- Energy relative to the elements, uncorrected: 0.286 eV/atom

Cell and atoms, written as POSCAR:
```
W2AuCl
1.0
2.864 0.000 0.000
1.432 2.480 0.000
1.432 0.827 9.347
Au W Cl
1 2 1
Direct
0.495 0.495 0.516
0.996 0.996 0.013
0.746 0.746 0.762
0.264 0.264 0.209
```

4.
A plane-wave DFT calculation with PBEsol was carried out for a geometry-optimized WAu2Cl structure.

- Excess energy over the best structure of this formula in the dataset: 90 meV per atom
- Energy relative to the elements, uncorrected: 0.396 eV/atom

Cell and atoms, written as POSCAR:
```
WAu2Cl
1.0
-0.863 2.680 0.598
-0.695 -0.938 -2.631
-7.736 -3.202 3.186
Au W Cl
2 1 1
Direct
0.000 0.000 0.250
0.000 0.000 0.750
0.500 0.500 0.000
0.500 0.500 0.500
```

5.
A plane-wave DFT calculation with PBEsol was carried out for a geometry-optimized W2AuCl structure.

- Excess energy over the best structure of this formula in the dataset: 432 meV per atom
- Energy relative to the elements, uncorrected: 0.718 eV/atom

Cell and atoms, written as POSCAR:
```
W2AuCl
1.0
2.946 0.000 0.000
0.000 4.758 0.000
-1.473 -2.379 4.917
Au W Cl
1 2 1
Direct
0.498 0.498 0.997
0.013 0.013 0.025
0.709 0.209 0.418
0.280 0.780 0.559
```

6.
A plane-wave DFT calculation with PBEsol was carried out for a geometry-optimized W2AuCl structure.

- Excess energy over the best structure of this formula in the dataset: 867 meV per atom
- Energy relative to the elements, uncorrected: 1.154 eV/atom

Cell and atoms, written as POSCAR:
```
W2AuCl
1.0
4.526 0.000 0.000
2.263 3.920 0.000
2.263 1.307 3.695
Au W Cl
1 2 1
Direct
0.500 0.500 0.500
0.000 0.000 0.000
0.750 0.750 0.750
0.250 0.250 0.250
```

Which value of energy relative to the elements, uncorrected does entry 4 give? 0.396 eV/atom